Compound: ErCoIrO6
Source: Alexandria
Functional: GGA+U
Structure: relaxed

Structure (POSCAR):
```
ErCoIrO6
1.0
5.366 0.000 0.000
-2.683 4.647 0.000
0.000 0.000 8.575
Er Co Ir O
2 2 2 12
Direct
0.333 0.667 0.250
0.667 0.333 0.750
0.000 0.000 0.000
0.000 0.000 0.500
0.333 0.667 0.750
0.667 0.333 0.250
0.040 0.362 0.623
0.040 0.678 0.877
0.322 0.362 0.877
0.322 0.960 0.623
0.362 0.040 0.123
0.362 0.322 0.377
0.638 0.678 0.623
0.638 0.960 0.877
0.678 0.040 0.377
0.678 0.638 0.123
0.960 0.322 0.123
0.960 0.638 0.377
```

SG: P-31c
Total energy in eV per atom: -6.753
Fermi-level density of states in states/eV/f.u.: 4.9
Magnetic moment in μB per formula unit: 1.3